A plane-wave DFT calculation with SCAN was carried out for a crystal of Hg2POs relaxed with PBEsol.

The energy of formation from the pure elements is 25.16 kcal/mol of atoms. The calculation puts the calculated volume at 68.44 Å³/f.u.

The structure belongs to space group P4/mmm (No. 123); the cell edges are 3.856, 3.856 and 4.602 Å and the angles 90.00°, 90.00° and 90.00°. Symmetry generates all atoms from Hg at (0.000, 0.500, 0.000), P at (0.000, 0.000, 0.500) and Os at (0.500, 0.500, 0.500).

***

A plane-wave DFT calculation with SCAN was carried out for a crystal of Cd2CoTe relaxed with PBEsol.

The calculation puts the calculated volume at 80.05 Å³/f.u. For the formation energy from raw total energies, the calculation gives 0.29 eV/atom.

The structure belongs to space group Cmmm (No. 65); the cell edges are 5.362, 7.836 and 3.811 Å and the angles 90.00°, 90.00° and 90.00°. Symmetry generates all atoms from Cd at (0.250, 0.250, 0.000), Co at (0.000, 0.000, 0.500) and Te at (0.000, 0.500, 0.500).

***

Number 1: raw total energy -53.56 eV per atom. Number 2: raw total energy -28.56 eV per atom.